{
  "formula": "LaMoO3",
  "functional": "PBE with a Hubbard U",
  "state": "relaxed",
  "cell": [[-2.5708, 2.3477, -2.1530], [-1.0563, -3.2384, -2.2700], [-3.0052, -0.8701, 2.6397]],
  "species": ["Mo", "O", "O", "O", "La"],
  "frac_coords": [[0.0000, 0.0000, 0.0000], [0.0000, 0.5000, 0.0000], [0.5000, 0.0000, 0.0000], [0.0000, 0.0000, 0.5000], [0.5000, 0.5000, 0.5000]],
  "magmom_total_mub_per_cell": 3.00,
  "dft_energy_ev_per_atom": -7.69
}